CrWNO2: optimized geometry, PBE+U.

## Properties
The space group is P4/mmm. The crystal system is tetragonal. The value obtained for the total moment is 4.83 μB per cell. Its total energy is -7.402 eV/atom.

Unit cell a=3.927 b=3.927 c=4.027 alpha=90.00 beta=90.00 gamma=90.00
Each line ends with the local moment (μB).
Sites, in units of the cell vectors:
1 Cr 0.500 0.500 0.500  4.29
2 O 0.000 0.500 0.000  0.01
3 O 0.500 0.000 0.000  0.01
4 W 0.000 0.000 0.000  0.41
5 N 0.000 0.000 0.500  -0.14